Entry 1:
K2Zr2Pb | Alexandria | PBE | relaxed; theoretical density = 4.8 g/cm3; formation energy from the elements = 0.768 eV/atom; ΔE to the lowest computed polymorph = 202.1 meV/atom; final energy = -19.2 eV/cell; total magnetization = 0.00 μB per atom
1.0
-2.1889 2.1889 8.4254
2.1889 -2.1889 8.4254
2.1889 2.1889 -8.4254
K Zr Pb
2 2 1
Cartesian
2.1889 0.0000 4.2127
0.0000 2.1889 4.2127
0.0000 0.0000 1.1853
0.0000 0.0000 15.6654
0.0000 0.0000 8.4254

=====

Entry 2:
NbPb | Alexandria | PBE | relaxed; theoretical density = 10.2 g/cm3; formation energy from the elements = 0.460 eV/atom; ΔE to the lowest computed polymorph = 214.8 meV/atom; final energy = -77.1 eV/cell; total magnetization = 0.00 μB per atom
1.0
9.8319 0.0000 0.0000
-4.9159 8.5146 0.0000
0.0000 0.0000 3.5122
Nb Pb
6 6
Cartesian
-1.2898 4.7277 0.8781
-0.1767 7.2678 0.8781
1.4666 5.0338 0.8781
3.4494 3.4809 2.6342
5.0927 1.2468 2.6342
6.2058 3.7870 2.6342
-2.6641 6.8404 2.6342
0.3240 2.7873 2.6342
2.5758 1.1130 0.8781
2.3401 7.4016 2.6342
4.5919 5.7274 0.8781
7.5800 1.6742 0.8781